! Y2GaTeF | Alexandria via LeMat-Bulk | PBE-GGA | optimized geometry; values from VASP
&SYSTEM
  ibrav = 0, nat = 5, ntyp = 4
/
ATOMIC_SPECIES
F 19.00 F.upf
Y 88.91 Y.upf
Ga 69.72 Ga.upf
Te 127.60 Te.upf
ATOMIC_POSITIONS angstrom
F -1.952 -0.471 -0.735
Y -0.706 2.665 0.167
Y -0.879 -0.396 2.588
Ga 0.000 0.000 0.000
Te -3.537 1.798 2.020
CELL_PARAMETERS angstrom
-1.412 5.330 0.335
-3.904 -0.942 -1.471
-1.759 -0.791 5.176
! V, Å³/f.u.: 130
! Total energy, eV/atom: -5.127

! CaPr3 | Alexandria via LeMat-Bulk | PBE-GGA | optimized geometry; values from VASP
&SYSTEM
  ibrav = 0, nat = 8, ntyp = 2
/
ATOMIC_SPECIES
Pr 140.91 Pr.upf
Ca 40.08 Ca.upf
ATOMIC_POSITIONS angstrom
Pr 4.537 5.684 1.076
Pr 4.537 1.863 1.076
Pr 4.537 3.774 4.385
Pr 1.512 -1.911 5.461
Pr 1.512 1.911 5.461
Pr 1.512 0.000 2.151
Ca 1.512 3.774 2.179
Ca 4.537 0.000 4.358
CELL_PARAMETERS angstrom
6.049 0.000 0.000
0.000 7.547 0.000
0.000 -3.774 6.536
! V, Å³/f.u.: 149
! ΔH_f (0 K), eV/atom: 0.080
! Total energy, eV/atom: -4.005